Computed, not measured: InOsC2 at its PBEsol-relaxed geometry at the meta-GGA SCAN level of DFT.

- DFT formation energy (meV per atom) = 925
- size of the total moment (μB per formula unit) = 0.0
- space group = No. 122

a b c (Å): 4.9356 4.9356 5.8725
angles (deg): 114.85 114.85 90.00
Last column: nearest neighbours and their distance in Å.
Element x y z (fractional)
In1 0.7500 0.2500 0.5000  4 C 2.30
In2 0.5000 0.5000 0.0000  4 C 2.30
Os1 0.2500 0.7500 0.5000  4 C 1.94
Os2 0.0000 0.0000 0.0000  4 C 1.94
C1 0.9365 0.3750 0.2500  2 Os 1.94
C2 0.3135 0.8750 0.2500  2 Os 1.94
C3 0.1250 0.0635 0.7500  2 Os 1.94
C4 0.6250 0.6865 0.7500  2 Os 1.94

Computed, not measured: KZrNbI2 at its PBEsol-relaxed geometry at the meta-GGA SCAN level of DFT.

- energy relative to the elements, uncorrected (kJ/mol of formula units) = 116
- size of the total moment (μB per formula unit) = 0.5
- space group = No. 123

a b c (Å): 5.0038 5.7190 5.7190
angles (deg): 90.00 90.00 90.00
Last column: nearest neighbours and their distance in Å.
Element x y z (fractional)
I1 0.0000 0.5000 0.0000  2 Nb 2.86
I2 0.0000 0.0000 0.5000  2 Nb 2.86
Zr1 0.5000 0.0000 0.0000  2 Nb 2.50
Nb1 0.0000 0.0000 0.0000  2 Zr 2.50
K1 0.5000 0.5000 0.5000  8 I 3.80, 4 Zr 4.04

Computed, not measured: MgCd2Ag at its PBEsol-relaxed geometry at the meta-GGA SCAN level of DFT.

- DFT formation energy (meV per atom) = -107
- size of the total moment (μB per formula unit) = 0.0
- energy relative to the lowest polymorph listed for this composition (eV/f.u.) = 0.081
- space group = No. 44

a b c (Å): 3.4728 4.7036 5.5124
angles (deg): 115.25 108.36 90.00
Last column: nearest neighbours and their distance in Å.
Element x y z (fractional)
Cd1 0.7477 0.2477 0.4954  4 Ag 2.92, 2 Cd 2.95, 4 Mg 3.00-3.24
Cd2 0.9923 0.9923 0.9846  2 Ag 2.85, 4 Mg 2.93, 2 Cd 2.95
Mg1 0.5095 0.5095 0.0189  2 Ag 2.84, 6 Cd 2.93-3.00
Ag1 0.2506 0.7506 0.5011  2 Mg 2.84, 6 Cd 2.85-2.92

Computed, not measured: Li2MgAs at its PBEsol-relaxed geometry at the meta-GGA SCAN level of DFT.

- DFT formation energy (meV per atom) = -336
- size of the total moment (μB per formula unit) = 0.0
- energy relative to the lowest polymorph listed for this composition (eV/f.u.) = 0.746
- space group = No. 99

a b c (Å): 3.3860 3.3860 6.1054
angles (deg): 90.00 90.00 90.00
Last column: nearest neighbours and their distance in Å.
Element x y z (fractional)
Mg1 0.0000 0.0000 0.5185  5 Li 2.84-2.99, 4 As 2.86
Li1 0.5000 0.5000 0.2247  1 As 2.75, 4 Li 2.81, 4 Mg 2.99
Li2 0.0000 0.0000 0.9832  4 As 2.71, 4 Li 2.81, 1 Mg 2.84
As1 0.5000 0.5000 0.7736  5 Li 2.71-2.75, 4 Mg 2.86

Computed, not measured: La3FeHg at its PBEsol-relaxed geometry at the meta-GGA SCAN level of DFT.

- DFT formation energy (meV per atom) = -179
- size of the total moment (μB per formula unit) = 0.0
- space group = No. 221

a b c (Å): 5.1574 5.1574 5.1574
angles (deg): 90.00 90.00 90.00
Last column: nearest neighbours and their distance in Å.
Element x y z (fractional)
La1 0.5000 0.0000 0.0000  2 Fe 2.58
La2 0.0000 0.0000 0.5000  2 Fe 2.58
La3 0.0000 0.5000 0.0000  2 Fe 2.58
Fe1 0.0000 0.0000 0.0000  6 La 2.58
Hg1 0.5000 0.5000 0.5000  12 La 3.65

Computed, not measured: SrLi2Ag at its PBEsol-relaxed geometry at the meta-GGA SCAN level of DFT.

- DFT formation energy (meV per atom) = -101
- size of the total moment (μB per formula unit) = 0.1
- space group = No. 6

a b c (Å): 3.9159 4.3168 6.5554
angles (deg): 90.00 108.44 90.00
Last column: nearest neighbours and their distance in Å.
Element x y z (fractional)
Ag1 0.7043 0.5000 0.7878  4 Li 2.62-2.87
Sr1 0.0857 0.0000 0.5614  4 Ag 3.23-3.24, 3 Li 3.32-3.50
Li1 0.3779 0.5000 0.1229  2 Ag 2.85-2.87, 4 Li 2.96-2.99
Li2 0.8321 0.0000 0.0278  2 Ag 2.62

Computed, not measured: SrNiS2 at its PBEsol-relaxed geometry at the meta-GGA SCAN level of DFT.

- energy relative to the elements, uncorrected (kJ/mol of formula units) = -409
- size of the total moment (μB per formula unit) = 2.0
- space group = No. 166

a b c (Å): 4.5702 4.5702 7.2723
angles (deg): 71.69 71.69 60.00
Last column: nearest neighbours and their distance in Å.
Element x y z (fractional)
S1 0.1006 0.1006 0.6981  1 Ni 2.05
S2 0.8994 0.8994 0.3019  1 Ni 2.05
Sr1 0.5000 0.5000 0.5000  6 S 2.96
Ni1 0.0000 0.0000 0.0000  2 S 2.05

Computed, not measured: Mo2OsRh at its PBEsol-relaxed geometry at the meta-GGA SCAN level of DFT.

- DFT formation energy (meV per atom) = -77
- size of the total moment (μB per formula unit) = 0.0
- energy relative to the lowest polymorph listed for this composition (eV/f.u.) = 0.058
- space group = No. 65

a b c (Å): 2.7289 4.7350 4.7350
angles (deg): 109.41 90.00 90.00
Last column: nearest neighbours and their distance in Å.
Element x y z (fractional)
Mo1 0.0000 0.0000 0.5000  4 Mo 2.73-2.74, 4 Rh 2.73, 4 Os 2.73
Mo2 0.0000 0.5000 0.0000  4 Mo 2.73-2.74, 4 Os 2.73, 4 Rh 2.73
Os1 0.5000 0.0000 0.0000  2 Os 2.73, 8 Mo 2.73, 2 Rh 2.74
Rh1 0.5000 0.5000 0.5000  2 Rh 2.73, 8 Mo 2.73, 2 Os 2.74

Computed, not measured: Zr2TlTe at its PBEsol-relaxed geometry at the meta-GGA SCAN level of DFT.

- energy relative to the elements, uncorrected (kJ/mol of formula units) = -103
- size of the total moment (μB per formula unit) = 0.0
- energy relative to the lowest polymorph listed for this composition (eV/f.u.) = 0.664
- space group = No. 119

a b c (Å): 4.2423 4.2423 5.8012
angles (deg): 111.45 111.45 90.00
Last column: nearest neighbours and their distance in Å.
Element x y z (fractional)
Te1 0.5000 0.5000 0.0000  8 Zr 3.00-3.27, 4 Tl 3.27
Zr1 0.0000 0.0000 0.0000  4 Te 3.00, 4 Tl 3.27, 4 Zr 3.27
Zr2 0.2500 0.7500 0.5000  4 Tl 3.00, 4 Te 3.27, 4 Zr 3.27
Tl1 0.7500 0.2500 0.5000  8 Zr 3.00-3.27, 4 Te 3.27

Computed, not measured: LiCu6OF11 at its PBEsol-relaxed geometry at the meta-GGA SCAN level of DFT.

- energy relative to the elements, uncorrected (kJ/mol of formula units) = -3267
- size of the total moment (μB per formula unit) = 4.0
- space group = No. 1

a b c (Å): 4.6994 5.5926 8.1419
angles (deg): 87.60 84.30 84.51
Last column: nearest neighbours and their distance in Å.
Element x y z (fractional)
F1 0.7390 0.8203 0.0828  1 Li 1.84, 1 Cu 1.89
F2 0.2954 0.2094 0.8753  2 Cu 1.89-1.94
F3 0.2206 0.4068 0.5676  2 Cu 1.93-1.95
F4 0.7855 0.6501 0.4019  1 Li 1.88, 2 Cu 2.01-2.06
F5 0.7931 0.9707 0.7509  2 Cu 1.90-1.92
F6 0.7220 0.1794 0.4421  1 Li 1.88, 2 Cu 1.94-1.95
F7 0.2360 0.7246 0.8987  2 Cu 1.92-1.93
F8 0.1894 0.0234 0.2622  1 Li 1.91, 2 Cu 1.99-2.03
F9 0.2925 0.8693 0.5716  2 Cu 1.90-1.95
F10 0.7226 0.4810 0.7853  2 Cu 1.90-1.96
F11 0.8041 0.2814 0.0902  2 Cu 1.95
Li1 0.8000 0.9442 0.2812  4 F 1.84-1.91
Cu1 0.3565 0.7114 0.3668  1 O 1.80, 1 F 1.90
Cu2 0.5142 0.5132 0.0056  1 O 1.84, 3 F 1.93-1.96
Cu3 0.5051 0.1819 0.6585  4 F 1.90-1.95
Cu4 0.0143 0.0126 0.9734  4 F 1.89-1.95
Cu5 0.0164 0.3526 0.3173  1 O 1.82, 3 F 1.94-2.01
Cu6 0.0030 0.6753 0.6816  4 F 1.90-1.95
O1 0.2959 0.5174 0.2057  3 Cu 1.80-1.84

Computed, not measured: KZr2Tl at its PBEsol-relaxed geometry at the meta-GGA SCAN level of DFT.

- DFT formation energy (meV per atom) = 626
- size of the total moment (μB per formula unit) = 0.0
- energy relative to the lowest polymorph listed for this composition (eV/f.u.) = 0.820
- space group = No. 65

a b c (Å): 2.9564 6.1807 6.1807
angles (deg): 117.86 90.00 90.00
Last column: nearest neighbours and their distance in Å.
Element x y z (fractional)
K1 0.5000 0.0000 0.0000  2 K 2.96, 2 Tl 3.19
Zr1 0.0000 0.5000 0.0000  4 Zr 2.96-3.19
Zr2 0.0000 0.0000 0.5000  4 Zr 2.96-3.19
Tl1 0.5000 0.5000 0.5000  2 Tl 2.96, 2 K 3.19

Computed, not measured: Li6CuF8 at its PBEsol-relaxed geometry at the meta-GGA SCAN level of DFT.

- energy relative to the elements, uncorrected (kJ/mol of formula units) = -4097
- size of the total moment (μB per formula unit) = 1.0
- energy relative to the lowest polymorph listed for this composition (eV/f.u.) = 0.000
- space group = No. 12

a b c (Å): 5.5971 5.7076 5.8389
angles (deg): 116.96 90.00 119.36
Last column: nearest neighbours and their distance in Å.
Element x y z (fractional)
Li1 0.5000 0.0000 0.5000  6 F 1.87-2.08
Li2 0.0000 0.5000 0.5000  4 F 1.87-2.02
Li3 0.8446 0.6891 0.0315  2 F 1.76-1.87
Li4 0.0000 0.0000 0.5000  6 F 1.91-2.11
Li5 0.1554 0.3109 0.9685  2 F 1.76-1.87
Li6 0.5000 0.5000 0.5000  4 F 1.87-2.02
F1 0.2532 0.9981 0.7666  1 Cu 1.93, 4 Li 1.98-2.13
F2 0.2236 0.4472 0.7236  4 Li 1.87-2.02
F3 0.7194 0.4389 0.6810  4 Li 1.76-1.87
F4 0.2551 0.0019 0.2334  1 Cu 1.93, 4 Li 1.98-2.13
F5 0.7449 0.9981 0.7666  1 Cu 1.93, 4 Li 1.98-2.13
F6 0.2806 0.5611 0.3190  4 Li 1.76-1.87
F7 0.7468 0.0019 0.2334  1 Cu 1.93, 4 Li 1.98-2.13
F8 0.7764 0.5528 0.2764  4 Li 1.87-2.02
Cu1 0.5000 0.0000 0.0000  4 F 1.93

Computed, not measured: KTaCr at its PBEsol-relaxed geometry at the meta-GGA SCAN level of DFT.

- DFT formation energy (meV per atom) = 1030
- size of the total moment (μB per formula unit) = 0.0
- energy relative to the lowest polymorph listed for this composition (eV/f.u.) = 0.000
- space group = No. 42

a b c (Å): 2.9146 2.9146 8.0856
angles (deg): 96.17 96.17 113.81
Last column: nearest neighbours and their distance in Å.
Element x y z (fractional)
Cr1 0.0243 0.0243 0.0486  2 Ta 2.38
Ta1 0.6360 0.6360 0.2720  2 Cr 2.38
K1 0.3397 0.3397 0.6794  6 K 2.91-3.18